1.
Below is a relaxed structure of YTePb2, with properties calculated at the PBE-GGA level.

Cell lengths 8.4741, 8.4741, 8.4741 Å; angles 30.33, 30.33, 30.33 degrees
Closest atoms and distances in Å follow each position.
Fractional positions:
Y 0.0000 0.0000 0.0000  3 Te 3.05, 3 Pb 3.23
Te 0.2652 0.2652 0.2652  3 Y 3.05
Pb 0.4862 0.4862 0.4862  3 Pb 3.09
Pb 0.7478 0.7478 0.7478  3 Pb 3.09, 3 Y 3.23

Raw formation energy: -190 kJ/mol of formula units
DOS at the Fermi energy: 0.59 states/eV per atom
Total energy: -4.749 eV per atom
Size of the total moment: 0.00 μB per formula unit

***

2.
Below is a relaxed structure of PmCuPd2, with properties calculated at the PBE-GGA level.

Cell lengths 5.3027, 5.3027, 5.3027 Å; angles 48.90, 48.90, 48.90 degrees
Closest atoms and distances in Å follow each position.
Fractional positions:
Pm 0.0000 0.0000 0.0000  8 Pd 2.97-3.05
Cu 0.5000 0.5000 0.5000  6 Pd 2.61
Pd 0.2123 0.2123 0.2123  3 Cu 2.61, 3 Pd 2.84
Pd 0.7877 0.7877 0.7877  3 Cu 2.61, 3 Pd 2.84

DOS at the Fermi energy: 0.35 states/eV per atom
Total energy: -5.364 eV per atom
Offset from the most stable computed form: 42 meV/atom
Energy relative to the elements: -0.56 eV/atom
Size of the total moment: 0.00 μB per formula unit

***

3.
Below is a relaxed structure of K2LiSiSb, with properties calculated at the PBE-GGA level.

Cell lengths 6.3327, 6.3327, 4.9224 Å; angles 90.00, 90.00, 90.00 degrees
Closest atoms and distances in Å follow each position.
Fractional positions:
K 0.0000 0.5000 0.0000  2 Si 3.17
K 0.5000 0.0000 0.0000  2 Si 3.17
Li 0.0000 0.0000 0.5000  2 Si 2.46
Si 0.0000 0.0000 0.0000  2 Li 2.46
Sb 0.5000 0.5000 0.5000  8 K 4.01, 4 Li 4.48

Raw formation energy: 201 kJ/mol of formula units
DOS at the Fermi energy: 0.94 states/eV per atom
Total energy: -2.314 eV per atom
Size of the total moment: 0.24 μB per formula unit